Model P:
LiNb3Os after structural relaxation, computed with PBE.

Results
The density of states at the Fermi level comes out at 1.042 states/eV/atom.

CIF file:
```
data_LiNb3Os
_chemical_formula_sum 'Li1 Nb3 Os1'
_symmetry_space_group_name_H-M 'P 1'
_symmetry_Int_Tables_number 1
_cell_length_a 4.900
_cell_length_b 4.900
_cell_length_c 4.900
_cell_angle_alpha 90.00
_cell_angle_beta 90.00
_cell_angle_gamma 90.00
loop_
_symmetry_equiv_pos_as_xyz
'x,y,z'
loop_
_atom_site_label
_atom_site_type_symbol
_atom_site_fract_x
_atom_site_fract_y
_atom_site_fract_z
_atom_site_occupancy
Nb1 Nb 0.500 0.000 0.000 1
Nb2 Nb 0.000 0.500 0.000 1
Nb3 Nb 0.000 0.000 0.500 1
Li1 Li 0.500 0.500 0.500 1
Os1 Os 0.000 0.000 0.000 1
```

***

Model Q:
LiNb3Os after structural relaxation, computed with PBE.

Results
The density of states at the Fermi level comes out at 1.606 states/eV/atom.

CIF file:
```
data_LiNb3Os
_chemical_formula_sum 'Li1 Nb3 Os1'
_symmetry_space_group_name_H-M 'P 1'
_symmetry_Int_Tables_number 1
_cell_length_a 4.342
_cell_length_b 4.342
_cell_length_c 4.342
_cell_angle_alpha 90.00
_cell_angle_beta 90.00
_cell_angle_gamma 90.00
loop_
_symmetry_equiv_pos_as_xyz
'x,y,z'
loop_
_atom_site_label
_atom_site_type_symbol
_atom_site_fract_x
_atom_site_fract_y
_atom_site_fract_z
_atom_site_occupancy
Nb1 Nb 0.000 0.000 0.500 1
Nb2 Nb 0.500 0.000 0.000 1
Nb3 Nb 0.000 0.500 0.000 1
Li1 Li 0.000 0.000 0.000 1
Os1 Os 0.500 0.500 0.500 1
```

***

It is model Q that is the least stable of them.

***

Model P:
LiNbP3 after structural relaxation, computed with PBE.

Results
The density of states at the Fermi level comes out at 0.737 states/eV/atom.

CIF file:
```
data_LiNbP3
_chemical_formula_sum 'Li1 Nb1 P3'
_symmetry_space_group_name_H-M 'P 1'
_symmetry_Int_Tables_number 1
_cell_length_a 4.263
_cell_length_b 4.263
_cell_length_c 4.263
_cell_angle_alpha 90.00
_cell_angle_beta 90.00
_cell_angle_gamma 90.00
loop_
_symmetry_equiv_pos_as_xyz
'x,y,z'
loop_
_atom_site_label
_atom_site_type_symbol
_atom_site_fract_x
_atom_site_fract_y
_atom_site_fract_z
_atom_site_occupancy
P1 P 0.000 0.000 0.500 1
P2 P 0.000 0.500 0.000 1
P3 P 0.500 0.000 0.000 1
Li1 Li 0.000 0.000 0.000 1
Nb1 Nb 0.500 0.500 0.500 1
```

***

Model Q:
LiNbP3 after structural relaxation, computed with PBE.

Results
The density of states at the Fermi level comes out at 0.419 states/eV/atom.

CIF file:
```
data_LiNbP3
_chemical_formula_sum 'Li1 Nb1 P3'
_symmetry_space_group_name_H-M 'P 1'
_symmetry_Int_Tables_number 1
_cell_length_a 4.840
_cell_length_b 4.840
_cell_length_c 4.840
_cell_angle_alpha 90.00
_cell_angle_beta 90.00
_cell_angle_gamma 90.00
loop_
_symmetry_equiv_pos_as_xyz
'x,y,z'
loop_
_atom_site_label
_atom_site_type_symbol
_atom_site_fract_x
_atom_site_fract_y
_atom_site_fract_z
_atom_site_occupancy
Nb1 Nb 0.000 0.000 0.000 1
P1 P 0.000 0.500 0.000 1
P2 P 0.000 0.000 0.500 1
P3 P 0.500 0.000 0.000 1
Li1 Li 0.500 0.500 0.500 1
```

***

It is model P that is the least stable of them.